The following is a PBE calculation of crystalline NpMn4InS8 at its relaxed geometry, from Alexandria via LeMat-Bulk.

Values from the calculation:
- E_form (uncorrected) (eV/atom) = -0.656

Geometry as CIF:
```
data_NpMn4InS8
_space_group_name_H-M_alt 'P 1'
_space_group_IT_number 1
_space_group_name_Hall 'P 1'
_cell_length_a 7.4991
_cell_length_b 7.4991
_cell_length_c 7.4961
_cell_angle_alpha 59.99
_cell_angle_beta 59.99
_cell_angle_gamma 60.00
loop_
_atom_site_label
_atom_site_type_symbol
_atom_site_fract_x
_atom_site_fract_y
_atom_site_fract_z
Mn1 Mn 0.6285 0.6285 0.1145
S1 S 0.2360 0.7471 0.2698
S2 S 0.7600 0.7600 0.7200
Np1 Np 0.9982 0.9982 0.0053
S3 S 0.2335 0.2335 0.2996
S4 S 0.7471 0.7471 0.2698
Mn2 Mn 0.9962 0.5084 0.4992
Mn3 Mn 0.9962 0.9962 0.4992
S5 S 0.7770 0.2514 0.7202
S6 S 0.2514 0.7770 0.7202
S7 S 0.2514 0.2514 0.7202
In1 In 0.3690 0.3690 0.8929
S8 S 0.7471 0.2360 0.2698
Mn4 Mn 0.5084 0.9962 0.4992
```

***

The following is a PBE calculation of crystalline KCaPu2Br8 at its relaxed geometry, from Alexandria via LeMat-Bulk.

Values from the calculation:
- E_form (uncorrected) (eV/atom) = -1.676

Geometry as CIF:
```
data_KCaPu2Br8
_space_group_name_H-M_alt 'P 1'
_space_group_IT_number 1
_space_group_name_Hall 'P 1'
_cell_length_a 7.1657
_cell_length_b 6.8910
_cell_length_c 9.0745
_cell_angle_alpha 89.99
_cell_angle_beta 90.00
_cell_angle_gamma 88.41
loop_
_atom_site_label
_atom_site_type_symbol
_atom_site_fract_x
_atom_site_fract_y
_atom_site_fract_z
Pu1 Pu 0.5000 0.5000 0.7526
Br1 Br 0.3657 0.2729 0.5000
Br2 Br 0.1667 0.7562 0.2255
Br3 Br 0.8332 0.2438 0.2254
Br4 Br 0.8333 0.2438 0.7745
Br5 Br 0.3384 0.2655 0.0000
Ca1 Ca 0.0000 0.0000 0.0000
Br6 Br 0.1668 0.7562 0.7746
Br7 Br 0.6616 0.7345 0.0000
Pu2 Pu 0.5000 0.5000 0.2474
K1 K 0.0000 0.0000 0.5000
Br8 Br 0.6343 0.7271 0.5000
```

***

The following is a PBE calculation of crystalline Tb2PmEu at its relaxed geometry, from Alexandria via LeMat-Bulk.

Values from the calculation:
- formation energy (kJ/mol of formula units) = 22
- relative energy among the computed polymorphs (meV per atom) = 0.0

Geometry as CIF:
```
data_Tb2PmEu
_space_group_name_H-M_alt 'P 1'
_space_group_IT_number 1
_space_group_name_Hall 'P 1'
_cell_length_a 3.6593
_cell_length_b 3.6593
_cell_length_c 10.3180
_cell_angle_alpha 90.00
_cell_angle_beta 90.00
_cell_angle_gamma 90.00
loop_
_atom_site_label
_atom_site_type_symbol
_atom_site_fract_x
_atom_site_fract_y
_atom_site_fract_z
Eu1 Eu 0.5000 0.5000 0.5000
Pm1 Pm 0.5000 0.5000 0.0000
Tb1 Tb 0.0000 0.0000 0.7629
Tb2 Tb 0.0000 0.0000 0.2371
```

***

The following is a PBE calculation of crystalline SrLi2PtBr at its relaxed geometry, from Alexandria via LeMat-Bulk.

Values from the calculation:
- E_form (uncorrected) (eV/atom) = -0.512

Geometry as CIF:
```
data_SrLi2PtBr
_space_group_name_H-M_alt 'P 1'
_space_group_IT_number 1
_space_group_name_Hall 'P 1'
_cell_length_a 4.6150
_cell_length_b 6.0648
_cell_length_c 4.6150
_cell_angle_alpha 90.00
_cell_angle_beta 90.00
_cell_angle_gamma 90.00
loop_
_atom_site_label
_atom_site_type_symbol
_atom_site_fract_x
_atom_site_fract_y
_atom_site_fract_z
Li1 Li 0.5000 0.0000 0.0000
Pt1 Pt 0.5000 0.5000 0.5000
Br1 Br 0.0000 0.0000 0.0000
Li2 Li 0.0000 0.0000 0.5000
Sr1 Sr 0.0000 0.5000 0.0000
```

***

The following is a PBE calculation of crystalline La2ZnIr2Pt5 at its relaxed geometry, from Alexandria via LeMat-Bulk.

Values from the calculation:
- formation energy (kJ/mol of formula units) = -578

Geometry as CIF:
```
data_La2ZnIr2Pt5
_space_group_name_H-M_alt 'P 1'
_space_group_IT_number 1
_space_group_name_Hall 'P 1'
_cell_length_a 4.0411
_cell_length_b 9.6816
_cell_length_c 9.6816
_cell_angle_alpha 90.00
_cell_angle_beta 90.00
_cell_angle_gamma 90.00
loop_
_atom_site_label
_atom_site_type_symbol
_atom_site_fract_x
_atom_site_fract_y
_atom_site_fract_z
La1 La 0.0000 0.1721 0.3279
Pt1 Pt 0.5000 0.6965 0.4406
Pt2 Pt 0.5000 0.1965 0.0594
Ir1 Ir 0.0000 0.1292 0.6292
Pt3 Pt 0.5000 0.3035 0.5594
Pt4 Pt 0.5000 0.0594 0.8035
Pt5 Pt 0.5000 0.5594 0.6965
Zn1 Zn 0.0000 0.0000 0.0000
Pt6 Pt 0.5000 0.5000 0.0000
La2 La 0.0000 0.8279 0.6721
Ir2 Ir 0.0000 0.6292 0.8708
La3 La 0.0000 0.3279 0.8279
Zn2 Zn 0.0000 0.5000 0.5000
Pt7 Pt 0.5000 0.4406 0.3035
Ir3 Ir 0.0000 0.3708 0.1292
Pt8 Pt 0.5000 0.8035 0.9406
Pt9 Pt 0.5000 0.9406 0.1965
La4 La 0.0000 0.6721 0.1721
Ir4 Ir 0.0000 0.8708 0.3708
Pt10 Pt 0.5000 0.0000 0.5000
```

***

The following is a PBE calculation of crystalline HfTcB4 at its relaxed geometry, from Alexandria via LeMat-Bulk.

Values from the calculation:
- formation energy (kJ/mol of formula units) = -345

Geometry as CIF:
```
data_HfTcB4
_space_group_name_H-M_alt 'P 1'
_space_group_IT_number 1
_space_group_name_Hall 'P 1'
_cell_length_a 3.4841
_cell_length_b 5.8308
_cell_length_c 5.8308
_cell_angle_alpha 103.37
_cell_angle_beta 90.00
_cell_angle_gamma 90.00
loop_
_atom_site_label
_atom_site_type_symbol
_atom_site_fract_x
_atom_site_fract_y
_atom_site_fract_z
B1 B 0.5000 0.3812 0.3812
B2 B 0.5000 0.9053 0.0947
B3 B 0.5000 0.0637 0.3838
Tc1 Tc 0.0000 0.8149 0.8149
B4 B 0.5000 0.0947 0.9053
Tc2 Tc 0.0000 0.1851 0.1851
B5 B 0.5000 0.6188 0.6188
Hf1 Hf 0.0000 0.3004 0.6996
Hf2 Hf 0.0000 0.6996 0.3004
B6 B 0.5000 0.3838 0.0637
B7 B 0.5000 0.9363 0.6162
B8 B 0.5000 0.6162 0.9363
```

***

Number 1: calculated total energy -6.7546 eV/atom. Number 2: calculated total energy -5.4382 eV/atom. Number 3: calculated total energy -6.0145 eV/atom. Number 4: calculated total energy -3.1565 eV/atom. Number 5: calculated total energy -6.5048 eV/atom. Number 6: calculated total energy -8.4338 eV/atom.